No. 1
Compound: LuTaCo2
Source: Alexandria
Functional: PBE
Structure: optimized geometry

Cell: 4.2110 4.2110 4.9340 Å, 64.74 64.74 60.00°
Fractional coordinates of all 4 atoms:
1 Lu 0.0000 0.0000 0.0000
2 Co 0.7810 0.7810 0.6570
3 Co 0.2190 0.2190 0.3430
4 Ta 0.5000 0.5000 0.5000

**Electronic total energy**: -31.13 eV per cell
**Offset from the most stable computed form**: 0.089 eV per atom
**Calculated volume**: 66 Å³/f.u.

***

No. 2
Compound: TbLuCo
Source: Alexandria
Functional: PBE
Structure: optimized geometry

Cell: 3.3340 3.3340 6.6572 Å, 104.50 104.50 90.00°
Site moments in Bohr magnetons follow the coordinates.
Fractional coordinates of all 3 atoms:
1 Tb 0.0360 0.0360 0.0721  0.07
2 Lu 0.2941 0.2941 0.5881  0.06
3 Co 0.6699 0.6699 0.3398  -0.81

**Electronic total energy**: -16.69 eV per cell
**Offset from the most stable computed form**: 0.000 eV per atom
**Calculated volume**: 69 Å³/f.u.